1.
4
Lattice="3.155 0.000 0.000 0.000 3.960 0.000 -0.025 0.000 4.986" Properties=species:S:1:pos:R:3 comment="ZrNi2As, relaxed, DFT PBE-GGA" formation_enthalpy_0k_kj_per_mol_fu=-173 pbc="T T T"
Zr 0.000 0.000 0.000
Ni 1.555 1.980 3.786
Ni 1.575 1.980 1.199
As 1.565 0.000 2.493



2.
9
Lattice="2.527 -7.580 0.000 2.527 7.580 0.000 -2.457 0.000 4.339" Properties=species:S:1:pos:R:3 comment="Hf2GaAu6, relaxed, DFT PBE-GGA" de_polymorph_ev_per_atom=0.0000 formation_enthalpy_0k_kj_per_mol_fu=-350 pbc="T T T"
Hf 2.527 5.101 0.000
Hf 2.527 -5.101 0.000
Ga -1.229 0.000 2.170
Au 0.042 2.510 2.902
Au 1.241 0.000 0.736
Au 0.042 -2.510 2.902
Au 2.555 2.510 1.438
Au 1.356 0.000 3.603
Au 2.555 -2.510 1.438



3.
7
Lattice="2.785 1.608 8.986 -2.785 1.608 8.986 0.000 -3.216 8.986" Properties=species:S:1:pos:R:3 comment="Sm4ThTl2, relaxed, DFT PBE-GGA" de_polymorph_ev_per_atom=0.1625 formation_enthalpy_0k_kj_per_mol_fu=57 pbc="T T T"
Sm 0.000 0.000 3.456
Sm 0.000 0.000 7.102
Sm 0.000 0.000 19.855
Sm 0.000 0.000 23.501
Th 0.000 0.000 13.479
Tl 0.000 0.000 10.275
Tl 0.000 0.000 16.682



4.
4
Lattice="0.000 3.708 3.708 3.708 0.000 3.708 3.708 3.708 0.000" Properties=species:S:1:pos:R:3 comment="CdInGePb, relaxed, DFT PBE-GGA" formation_enthalpy_0k_kj_per_mol_fu=55 pbc="T T T"
Cd 0.000 0.000 0.000
In 5.562 5.562 5.562
Ge 3.708 3.708 3.708
Pb 1.854 1.854 1.854



5.
5
Lattice="3.928 0.000 0.000 0.000 3.928 0.000 0.000 0.000 3.928" Properties=species:S:1:pos:R:3 comment="EuMgH3, relaxed, DFT PBE-GGA" energy_ev_per_fu=-23.09 pbc="T T T"
Eu 0.000 0.000 0.000
Mg 1.964 1.964 1.964
H 0.000 1.964 1.964
H 1.964 0.000 1.964
H 1.964 1.964 0.000



6.
14
Lattice="-4.230 4.339 5.985 4.230 -4.339 5.985 4.230 4.339 -5.985" Properties=species:S:1:pos:R:3 comment="RbSmUS4, relaxed, DFT PBE-GGA" e_form_raw_kj_per_mol_atoms=-152 pbc="T T T"
Rb 0.000 2.170 1.547
Rb 4.230 2.170 4.439
Sm 4.230 0.000 0.000
Sm 0.000 0.000 5.985
U 2.115 2.170 -2.993
U 2.115 -2.170 2.993
S 4.230 -0.440 2.812
S 4.230 3.899 -2.812
S 2.430 2.170 -0.310
S 6.030 2.170 -0.310
S -1.800 2.170 6.296
S 1.800 2.170 6.296
S 0.000 0.440 8.797
S 0.000 4.779 3.174



7.
5
Lattice="5.105 0.000 0.000 0.000 5.105 0.000 0.000 0.000 5.105" Properties=species:S:1:pos:R:3 comment="CaMn3In, relaxed, DFT PBE-GGA" de_polymorph_ev_per_atom=0.0000 formation_enthalpy_0k_kj_per_mol_fu=424 pbc="T T T"
Ca 0.000 0.000 0.000
Mn 0.000 2.553 2.553
Mn 2.553 0.000 2.553
Mn 2.553 2.553 0.000
In 2.553 2.553 2.553



8.
4
Lattice="1.711 0.988 12.003 -1.711 0.988 12.003 0.000 -1.976 12.003" Properties=species:S:1:pos:R:3 comment="LiDyTm2, relaxed, DFT PBE-GGA" de_polymorph_ev_per_atom=0.1156 formation_enthalpy_0k_kj_per_mol_fu=73 pbc="T T T"
Li 0.000 0.000 0.000
Dy 0.000 0.000 18.005
Tm 0.000 0.000 3.189
Tm 0.000 0.000 32.821



Fermi-level density of states values (in states/eV/cell) by entry order: 2.3; 3.7; 12.6; 1.2; 1.8; 9.1; 1.5; 5.8.